A PBEsol-optimized structure of Mg2ReRh, computed with SCAN.

## Properties
The uncorrected energy is -28.638 eV/atom. As for the energy relative to the elements: 1.5 kcal/mol of atoms. The distance to the lowest polymorph of the same formula comes out at 76 meV/atom.

Cell: 2.8344 2.8344 28.1865 Å, 90.00 90.00 120.00°
Fractional coordinates of all 12 atoms:
1 Mg 0.0000 0.0000 0.0000
2 Mg 0.0000 0.0000 0.2332
3 Mg 0.3333 0.6667 0.6667
4 Mg 0.3333 0.6667 0.8999
5 Mg 0.6667 0.3333 0.3333
6 Mg 0.6667 0.3333 0.5665
7 Re 0.0000 0.0000 0.7495
8 Re 0.3333 0.6667 0.4162
9 Re 0.6667 0.3333 0.0829
10 Rh 0.0000 0.0000 0.4884
11 Rh 0.3333 0.6667 0.1550
12 Rh 0.6667 0.3333 0.8217

A PBEsol-optimized structure of Y2CdP2, computed with SCAN.

## Properties
The uncorrected energy is -22.595 eV/atom. As for the energy relative to the elements: -28.0 kcal/mol of atoms.

Cell: 7.4270 7.4270 3.6888 Å, 90.00 90.00 90.00°
Fractional coordinates of all 10 atoms:
1 Y 0.1561 0.3439 0.0000
2 Y 0.3439 0.8439 0.0000
3 Y 0.6561 0.1561 0.0000
4 Y 0.8439 0.6561 0.0000
5 Cd 0.0000 0.0000 0.5000
6 Cd 0.5000 0.5000 0.5000
7 P 0.1504 0.6504 0.5000
8 P 0.3496 0.1504 0.5000
9 P 0.6504 0.8496 0.5000
10 P 0.8496 0.3496 0.5000